10
Lattice="-1.164 1.297 11.263 1.164 -1.297 11.263 1.164 1.297 -11.263" Properties=species:S:1:pos:R:3 comment="B3C2 | the Alexandria database | GGA-PBE | optimized geometry" dos_ef_per_ev_atom=0.22 magnetic_moment_mub_per_atom=0.000 ef_ev_per_atom=0.408 crystal_system=orthorhombic de_polymorph_ev_per_atom=0.197 total_energy_ev_per_atom=-7.288 pbc="T T T"
B 0.000 0.000 0.000
B 0.000 0.000 4.270
B 0.000 0.000 13.414
B 0.000 1.297 5.526
B 0.000 0.000 18.159
B 0.000 1.297 9.862
C 1.164 0.000 3.095
C 1.164 0.000 7.948
C 0.000 0.000 8.812
C 0.000 1.297 0.937